1.
Below is an optimized crystal structure of VHgPO2, with properties calculated at the PBE+U level.

Summary:
Polymorph energy (0 for the lowest one) = 1482.7 meV/atom

a = 4.129 Å, b = 4.129 Å, c = 5.191 Å
α = 90.00°, β = 90.00°, γ = 90.00°
Space group P4/mmm (No. 123)
Asymmetric unit:
V  0.000  0.000  0.000
Hg  0.500  0.500  0.500
P  0.500  0.500  0.000
O  0.000  0.500  0.500

=====

2.
Below is an optimized crystal structure of V2HgP4O14, with properties calculated at the PBE+U level.

Summary:
E = -0.5222 Ry per atom

a = 4.950 Å, b = 6.979 Å, c = 8.291 Å
α = 92.92°, β = 94.02°, γ = 105.20°
Space group P-1 (No. 2)
Asymmetric unit:
V  0.000  0.000  0.000
V  0.500  0.500  0.500
Hg  0.000  0.000  0.500
P  0.014  0.638  0.257
P  0.382  0.759  0.806
O  0.112  0.810  0.156
O  0.151  0.300  0.598
O  0.173  0.886  0.810
O  0.220  0.533  0.847
O  0.244  0.551  0.323
O  0.374  0.187  0.066
O  0.466  0.742  0.630

=====

3.
Below is an optimized crystal structure of VHgPO6, with properties calculated at the PBE+U level.

Summary:
E = -0.4591 Ry per atom

a = 4.8675 Å, b = 4.8675 Å, c = 5.0155 Å
α = 90.00°, β = 90.00°, γ = 120.00°
Space group P312 (No. 149)
Asymmetric unit:
V  0.0000  0.0000  0.0000
Hg  0.6667  0.3333  0.5000
P  0.3333  0.6667  0.0000
O  0.0620  0.3593  0.1959

=====

4.
Below is an optimized crystal structure of VHg4P2O9, with properties calculated at the PBE+U level.

Summary:
E = -0.4047 Ry per atom

a = 7.178 Å, b = 17.098 Å, c = 9.237 Å
α = 90.00°, β = 90.00°, γ = 90.00°
Space group Pnma (No. 62)
Asymmetric unit:
V  0.113  0.250  0.236
Hg  0.146  0.598  0.528
Hg  0.151  0.582  0.249
P  0.157  0.614  0.889
O  0.019  0.167  0.099
O  0.146  0.558  0.755
O  0.155  0.750  0.678
O  0.166  0.166  0.384
O  0.171  0.559  0.022

=====

5.
Below is an optimized crystal structure of VHgP2O, with properties calculated at the PBE+U level.

Summary:
Polymorph energy (0 for the lowest one) = 0.0 meV/atom

a = 4.816 Å, b = 4.816 Å, c = 3.651 Å
α = 90.00°, β = 90.00°, γ = 90.00°
Space group P4/mmm (No. 123)
Asymmetric unit:
V  0.000  0.000  0.000
Hg  0.500  0.500  0.500
P  0.000  0.500  0.000
O  0.000  0.000  0.500

=====

6.
Below is an optimized crystal structure of VHgPO2, with properties calculated at the PBE+U level.

Summary:
Polymorph energy (0 for the lowest one) = 0.0 meV/atom

a = 3.729 Å, b = 3.729 Å, c = 5.277 Å
α = 90.00°, β = 90.00°, γ = 90.00°
Space group P4/mmm (No. 123)
Asymmetric unit:
V  0.000  0.000  0.000
Hg  0.500  0.500  0.500
P  0.000  0.000  0.500
O  0.000  0.500  0.000